Compound: LaCr2SCl
Source: the Alexandria database
Functional: GGA-PBE
Structure: relaxed

```
5
Lattice="4.263 0.000 0.000 0.000 6.198 0.000 0.000 0.000 4.263" Properties=species:S:1:pos:R:3 pbc="T T T"
Cr 0.000 0.000 2.131
Cr 2.131 0.000 0.000
La 2.131 3.099 2.131
Cl 0.000 3.099 0.000
S 0.000 0.000 0.000
```

Summary:
As for the energy: -6.257 eV/atom. Its space group is P4/mmm, No. 123. Its formation energy without anion corrections is -110 kJ/mol of formula units.

---

Compound: LaCrSCl2
Source: the Alexandria database
Functional: GGA-PBE
Structure: relaxed

```
5
Lattice="-1.444 1.799 -5.015 -5.243 0.444 1.669 0.955 5.241 1.605" Properties=species:S:1:pos:R:3 pbc="T T T"
Cr -2.866 3.742 -0.871
La 0.000 0.000 0.000
S 0.477 2.621 0.803
Cl -0.722 0.899 -2.507
Cl -2.621 0.222 0.834
```

Summary:
As for the energy: -5.381 eV/atom. Its space group is P4/mmm, No. 123. The energy above the most stable polymorph in this dataset comes out at 220 meV/atom. Its formation energy without anion corrections is -437 kJ/mol of formula units.

---

Compound: LaCrSiCl2
Source: the Alexandria database
Functional: GGA-PBE
Structure: relaxed

```
5
Lattice="4.573 0.000 0.000 0.000 7.828 0.000 0.000 0.000 4.573" Properties=species:S:1:pos:R:3 pbc="T T T"
Cr 0.000 0.000 0.000
Cl 2.287 0.000 0.000
Cl 0.000 0.000 2.287
La 0.000 3.914 0.000
Si 2.287 3.914 2.287
```

Summary:
As for the energy: -4.890 eV/atom. Its space group is P4/mmm, No. 123. Its formation energy without anion corrections is -76 kJ/mol of formula units.

---

Compound: La2TaCrCl
Source: the Alexandria database
Functional: GGA-PBE
Structure: relaxed

```
5
Lattice="-0.843 -2.992 -4.877 3.489 -2.951 1.207 -3.809 -3.385 2.735" Properties=species:S:1:pos:R:3 pbc="T T T"
Cl 1.745 -1.476 0.604
La -1.904 -1.692 1.367
La -0.421 -1.496 -2.438
Cr -0.581 -4.664 -0.467
Ta 0.000 0.000 0.000
```

Summary:
As for the energy: -5.948 eV/atom. Its space group is P4/mmm, No. 123. Its formation energy without anion corrections is 332 kJ/mol of formula units.

---

Compound: LaCrTe2Cl
Source: the Alexandria database
Functional: GGA-PBE
Structure: relaxed

```
5
Lattice="-3.163 3.955 -2.667 -2.801 -2.886 -0.958 -2.778 1.074 4.888" Properties=species:S:1:pos:R:3 pbc="T T T"
Te -1.582 1.978 -1.334
Te -1.389 0.537 2.444
La -4.371 1.071 0.631
Cl 0.000 0.000 0.000
Cr -1.401 -1.443 -0.479
```

Summary:
As for the energy: -4.385 eV/atom. Its space group is P4/mmm, No. 123. Its formation energy without anion corrections is 73 kJ/mol of formula units.

---

Compound: La2YCrCl
Source: the Alexandria database
Functional: GGA-PBE
Structure: relaxed

```
5
Lattice="-2.182 3.505 3.881 -1.603 -3.334 2.109 4.775 -0.381 3.028" Properties=species:S:1:pos:R:3 pbc="T T T"
Cr -0.802 -1.667 1.055
Cl 0.000 0.000 0.000
La -1.091 1.752 1.941
La 2.387 -0.190 1.514
Y 0.494 -0.105 4.509
```

Summary:
As for the energy: -5.561 eV/atom. Its space group is P4/mmm, No. 123. Its formation energy without anion corrections is -1 kJ/mol of formula units.

---

Compound: LiCr3Cl8
Source: the Alexandria database
Functional: GGA-PBE
Structure: relaxed

```
12
Lattice="7.222 0.000 0.000 -3.611 5.134 -3.583 0.000 0.164 7.632" Properties=species:S:1:pos:R:3 pbc="T T T"
Cl 3.611 2.755 4.245
Cl 1.902 0.326 5.944
Cl 3.611 2.583 0.030
Cl 5.319 0.326 5.944
Cl 0.000 2.543 -0.196
Cl 0.000 2.715 4.018
Cl -1.709 4.972 -1.895
Cl 1.709 4.972 -1.895
Cr 3.611 0.000 0.000
Cr 1.805 2.567 -1.792
Cr -1.805 2.567 -1.792
Li 0.000 0.000 0.000
```

Summary:
As for the energy: -4.937 eV/atom. Its space group is C2/m, No. 12. Its formation energy without anion corrections is -1320 kJ/mol of formula units.

---

Compound: LiCr2Cl2
Source: the Alexandria database
Functional: GGA-PBE
Structure: relaxed

```
5
Lattice="-2.957 -1.332 -1.046 1.535 -1.217 -2.789 0.829 -7.492 1.643" Properties=species:S:1:pos:R:3 pbc="T T T"
Cl -0.382 -2.602 -1.157
Cl -0.211 -7.438 -1.035
Cr 0.826 -4.992 -1.532
Cr -1.420 -5.049 -0.660
Li 0.000 0.000 0.000
```

Summary:
As for the energy: -4.924 eV/atom. Its space group is I4/mmm, No. 139. The energy above the most stable polymorph in this dataset comes out at 189 meV/atom. Its formation energy without anion corrections is 23 kJ/mol of formula units.